(1)
# LaDyYCd

A relaxed structure of LaDyYCd (PBE, the Alexandria database). Values from VASP.

Geometry as Quantum ESPRESSO input:
```
&SYSTEM
  ibrav = 0, nat = 4, ntyp = 4
/
ATOMIC_SPECIES
La 138.91 La.upf
Dy 162.50 Dy.upf
Y 88.91 Y.upf
Cd 112.41 Cd.upf
CELL_PARAMETERS angstrom
0.000 3.930 3.930
3.930 0.000 3.930
3.930 3.930 0.000
ATOMIC_POSITIONS crystal
La 0.000 0.000 0.000
Dy 0.250 0.250 0.250
Y 0.500 0.500 0.500
Cd 0.750 0.750 0.750
```

(2)
# K3Zn2Au2

A relaxed structure of K3Zn2Au2 (PBE, the Alexandria database). Values from VASP.

Geometry as Quantum ESPRESSO input:
```
&SYSTEM
  ibrav = 0, nat = 7, ntyp = 3
/
ATOMIC_SPECIES
K 39.10 K.upf
Zn 65.41 Zn.upf
Au 196.97 Au.upf
CELL_PARAMETERS angstrom
-2.323 2.474 9.717
2.323 -2.474 9.717
2.323 2.474 -9.717
ATOMIC_POSITIONS crystal
K 0.000 0.000 0.000
K 0.190 0.690 0.500
K 0.810 0.310 0.500
Zn 0.433 0.433 0.000
Zn 0.567 0.567 0.000
Au 0.374 0.874 0.500
Au 0.626 0.126 0.500
```

(3)
# FeTcAs4

A relaxed structure of FeTcAs4 (PBE, the Alexandria database). Values from VASP.

Geometry as Quantum ESPRESSO input:
```
&SYSTEM
  ibrav = 0, nat = 12, ntyp = 3
/
ATOMIC_SPECIES
Fe 55.84 Fe.upf
Tc 98.00 Tc.upf
As 74.92 As.upf
CELL_PARAMETERS angstrom
6.314 0.000 0.000
0.000 6.512 0.000
-0.592 0.000 4.885
ATOMIC_POSITIONS crystal
Fe 0.000 0.000 0.000
Fe 0.000 0.500 0.500
Tc 0.500 0.000 0.500
Tc 0.500 0.500 0.000
As 0.132 0.145 0.465
As 0.132 0.355 0.965
As 0.357 0.634 0.483
As 0.357 0.866 0.983
As 0.643 0.134 0.017
As 0.643 0.366 0.517
As 0.868 0.645 0.035
As 0.868 0.855 0.535
```

(4)
# TlReP2

A relaxed structure of TlReP2 (PBE, the Alexandria database). Values from VASP.

Geometry as Quantum ESPRESSO input:
```
&SYSTEM
  ibrav = 0, nat = 4, ntyp = 3
/
ATOMIC_SPECIES
Tl 204.38 Tl.upf
Re 186.21 Re.upf
P 30.97 P.upf
CELL_PARAMETERS angstrom
-2.420 2.420 2.838
2.420 -2.420 2.838
2.420 2.420 -2.838
ATOMIC_POSITIONS crystal
Tl 0.000 0.000 0.000
Re 0.500 0.500 0.000
P 0.250 0.750 0.500
P 0.750 0.250 0.500
```

The evaluated energy relative to the elements for the records listed, in turn: -39, -191, 41, 791 meV per atom.